# 1
Density functional theory data (PBE) for AcPrHo2Tl4 after structural relaxation.

a b c (Å): 9.6133 9.6133 9.6133
angles (deg): 33.47 33.47 33.47
With the nearest neighbours (Å) after each atom.
Element x y z (fractional)
Ac (0.0000, 0.0000, 0.0000)  8 Tl 3.42-3.45
Pr (0.5000, 0.5000, 0.5000)  8 Tl 3.33-3.37
Ho (0.2494, 0.2494, 0.2494)  8 Tl 3.33-3.49
Ho (0.7506, 0.7506, 0.7506)  8 Tl 3.33-3.49
Tl (0.1269, 0.1269, 0.1269)  4 Ho 3.33-3.40, 3 Pr 3.37, 1 Ac 3.45
Tl (0.3776, 0.3776, 0.3776)  1 Pr 3.33, 4 Ho 3.37-3.49, 3 Ac 3.42
Tl (0.6224, 0.6224, 0.6224)  1 Pr 3.33, 4 Ho 3.37-3.49, 3 Ac 3.42
Tl (0.8731, 0.8731, 0.8731)  4 Ho 3.33-3.40, 3 Pr 3.37, 1 Ac 3.45

Formation energy from the elements, eV/atom: -0.326
Space group: R-3m, No. 166
Total magnetic moment, μB per atom: 0.000



# 2
Density functional theory data (PBE) for AcPr2HoTl2 after structural relaxation.

a b c (Å): 4.9180 9.6526 8.6082
angles (deg): 90.00 90.00 90.00
With the nearest neighbours (Å) after each atom.
Element x y z (fractional)
Ac (0.0000, 0.0823, 0.0000)  5 Tl 3.46-3.63, 2 Ho 3.86
Ac (0.0000, 0.9177, 0.5000)  5 Tl 3.46-3.63, 2 Ho 3.86
Pr (0.0000, 0.3255, 0.3842)  4 Tl 3.13-3.25
Pr (0.0000, 0.6745, 0.8842)  4 Tl 3.13-3.25
Pr (0.5000, 0.4200, 0.0513)  5 Tl 3.55-3.66, 4 Pr 3.76-3.88, 1 Ho 3.91
Pr (0.5000, 0.5800, 0.5513)  5 Tl 3.55-3.66, 4 Pr 3.76-3.88, 1 Ho 3.91
Ho (0.5000, 0.1879, 0.6651)  4 Tl 3.13-3.28
Ho (0.5000, 0.8121, 0.1651)  4 Tl 3.13-3.28
Tl (0.0000, 0.3695, 0.7589)  2 Ho 3.13, 2 Pr 3.13-3.25, 1 Ac 3.46
Tl (0.0000, 0.6305, 0.2589)  2 Ho 3.13, 2 Pr 3.13-3.25, 1 Ac 3.46
Tl (0.5000, 0.1212, 0.2910)  2 Ho 3.17-3.28, 3 Pr 3.25-3.55, 2 Ac 3.53
Tl (0.5000, 0.8788, 0.7910)  2 Ho 3.17-3.28, 3 Pr 3.25-3.55, 2 Ac 3.53

Formation energy from the elements, eV/atom: -0.255
Space group: Pmc2_1, No. 26
Total magnetic moment, μB per atom: 0.323